No. 1
GGA-PBE Mg2PaGe3Ir4, optimized geometry; SG = No. 115; DOS at the Fermi energy = 0.509 states/eV/atom; calculated volume = 19.32 A^3/atom; magnetic moment = 0.00 μB/atom; calculated density = 10.89 Mg/m³
1.0
-0.749 -3.327 2.513
4.158 -0.407 0.700
-0.784 6.583 8.480
Mg Pa Ge Ir
2 1 3 4
Direct
0.500 0.000 0.217
0.000 0.500 0.783
0.500 0.500 0.500
0.000 0.000 0.500
0.500 0.000 0.876
0.000 0.500 0.124
0.500 0.500 0.000
0.000 0.000 0.000
0.500 0.000 0.650
0.000 0.500 0.350

No. 2
GGA-PBE MgPaGe2Ir2, optimized geometry; SG = No. 164; DOS at the Fermi energy = 0.847 states/eV/atom; calculated volume = 17.92 A^3/atom; magnetic moment = 0.00 μB/atom; calculated density = 12.13 Mg/m³
1.0
4.349 0.000 0.000
-2.174 3.766 0.000
0.000 0.000 6.564
Mg Pa Ge Ir
1 1 2 2
Direct
0.000 0.000 0.500
0.000 0.000 0.000
0.667 0.333 0.292
0.333 0.667 0.708
0.667 0.333 0.732
0.333 0.667 0.268

No. 3
GGA-PBE Mg2GeIrPd, optimized geometry; SG = No. 123; DOS at the Fermi energy = 0.647 states/eV/atom; calculated volume = 20.76 A^3/atom; magnetic moment = 0.00 μB/atom; calculated density = 6.72 Mg/m³
1.0
-0.559 4.318 -1.926
-4.258 0.194 1.671
1.657 1.996 3.992
Ge Ir Mg Pd
1 1 2 1
Direct
0.000 0.500 0.000
0.500 0.500 0.500
0.000 0.000 0.500
0.500 0.000 0.000
0.000 0.000 0.000

What formation energy from the elements values result from the calculations? In sequence: -381, -600, 400 meV per atom.